(1)
A relaxed PaTl2CdF8 crystal. Source: Alexandria via LeMat-Bulk, functional PBE-GGA.

Cell and atoms, written as POSCAR:
```
PaTl2CdF8
1.0
6.234 0.000 0.000
0.000 6.234 0.000
-3.117 -3.117 5.902
F Cd Pa Tl
8 1 1 2
Cartesian
4.907 4.379 1.650
1.262 -1.790 4.252
1.327 4.379 1.650
4.907 1.855 1.650
1.262 1.790 4.252
1.327 1.855 1.650
-1.262 1.790 4.252
-1.262 -1.790 4.252
3.117 3.117 0.000
0.000 3.117 2.951
3.117 0.000 2.951
0.000 0.000 0.000
```



(2)
A relaxed Cd2PbF crystal. Source: Alexandria via LeMat-Bulk, functional PBE-GGA.

Cell and atoms, written as POSCAR:
```
Cd2PbF
1.0
-0.791 2.761 1.665
-1.035 -0.199 3.148
8.635 1.640 4.694
Cd Pb F
2 1 1
Cartesian
5.698 1.390 3.713
1.110 2.812 5.796
0.000 0.000 0.000
3.404 2.101 4.754
```



(3)
A relaxed Cd2PbF crystal. Source: Alexandria via LeMat-Bulk, functional PBE-GGA.

Cell and atoms, written as POSCAR:
```
Cd2PbF
1.0
5.625 0.000 0.000
0.000 5.625 0.000
2.812 2.812 7.020
F Cd Pb
2 4 2
Cartesian
2.812 5.625 3.510
2.812 2.812 0.000
3.687 1.406 1.755
4.219 4.751 5.265
7.031 6.499 5.265
1.938 4.219 1.755
5.625 2.812 3.510
0.000 0.000 0.000
```



(4)
A relaxed Cd2PbF7 crystal. Source: Alexandria via LeMat-Bulk, functional PBE-GGA.

Cell and atoms, written as POSCAR:
```
Cd2PbF7
1.0
3.778 0.000 -0.727
-0.140 3.776 -0.727
-0.170 -0.177 9.296
F Cd Pb
7 2 1
Cartesian
0.246 2.216 1.280
1.263 3.271 6.562
1.819 1.888 -0.727
0.754 2.743 3.921
3.222 1.383 6.562
2.713 0.856 3.921
2.205 0.328 1.280
2.387 2.477 2.223
1.081 1.122 5.619
0.000 0.000 0.000
```



Number 1: formation energy from raw total energies -2730 meV/atom, E -5.239 eV per atom. Number 2: formation energy from raw total energies -670 meV/atom, E -2.523 eV per atom. Number 3: formation energy from raw total energies -551 meV/atom, E -2.403 eV per atom. Number 4: formation energy from raw total energies -2016 meV/atom, E -3.879 eV per atom.